1.
# ZrFeCoGe PBE relaxed
data_ZrFeCoGe
_space_group_name_H-M_alt 'P 1'
_space_group_IT_number 1
_cell_length_a 4.385
_cell_length_b 4.385
_cell_length_c 4.385
_cell_angle_alpha 60.00
_cell_angle_beta 60.00
_cell_angle_gamma 60.00
loop_
_space_group_symop_operation_xyz
'x,y,z'
loop_
_atom_site_label
_atom_site_type_symbol
_atom_site_fract_x
_atom_site_fract_y
_atom_site_fract_z
Co1 Co 0.500 0.500 0.500
Fe1 Fe 0.750 0.750 0.750
Ge1 Ge 0.000 0.000 0.000
Zr1 Zr 0.250 0.250 0.250
# Total energy = -28.97 eV per cell
# Symmetry = F-43m
# M_tot = 3.61 μB per formula unit


2.
# ErTlW PBE relaxed
data_ErTlW
_space_group_name_H-M_alt 'P 1'
_space_group_IT_number 1
_cell_length_a 4.756
_cell_length_b 4.756
_cell_length_c 4.756
_cell_angle_alpha 60.00
_cell_angle_beta 60.00
_cell_angle_gamma 60.00
loop_
_space_group_symop_operation_xyz
'x,y,z'
loop_
_atom_site_label
_atom_site_type_symbol
_atom_site_fract_x
_atom_site_fract_y
_atom_site_fract_z
Er1 Er 0.250 0.250 0.250
Tl1 Tl 0.000 0.000 0.000
W1 W 0.750 0.750 0.750
# Total energy = -16.65 eV per cell
# Symmetry = F-43m
# M_tot = 1.36 μB per formula unit


3.
# YFeAgBi PBE relaxed
data_YFeAgBi
_space_group_name_H-M_alt 'P 1'
_space_group_IT_number 1
_cell_length_a 4.941
_cell_length_b 4.941
_cell_length_c 4.941
_cell_angle_alpha 60.00
_cell_angle_beta 60.00
_cell_angle_gamma 60.00
loop_
_space_group_symop_operation_xyz
'x,y,z'
loop_
_atom_site_label
_atom_site_type_symbol
_atom_site_fract_x
_atom_site_fract_y
_atom_site_fract_z
Ag1 Ag 0.250 0.250 0.250
Bi1 Bi 0.000 0.000 0.000
Fe1 Fe 0.750 0.750 0.750
Y1 Y 0.500 0.500 0.500
# Total energy = -21.35 eV per cell
# Symmetry = F-43m
# M_tot = 1.97 μB per formula unit


4.
# Nb2Te2As PBE relaxed
data_Nb2Te2As
_space_group_name_H-M_alt 'P 1'
_space_group_IT_number 1
_cell_length_a 6.142
_cell_length_b 6.142
_cell_length_c 6.142
_cell_angle_alpha 132.78
_cell_angle_beta 132.78
_cell_angle_gamma 69.00
loop_
_space_group_symop_operation_xyz
'x,y,z'
loop_
_atom_site_label
_atom_site_type_symbol
_atom_site_fract_x
_atom_site_fract_y
_atom_site_fract_z
As1 As 0.000 0.000 0.000
Nb1 Nb 0.750 0.250 0.500
Nb2 Nb 0.250 0.750 0.500
Te1 Te 0.359 0.359 0.000
Te2 Te 0.641 0.641 0.000
# Total energy = -29.33 eV per cell
# Symmetry = I4/mmm
# M_tot = 0.38 μB per formula unit


5.
# CsPrCoSe3 PBE relaxed
data_CsPrCoSe3
_space_group_name_H-M_alt 'P 1'
_space_group_IT_number 1
_cell_length_a 8.966
_cell_length_b 8.966
_cell_length_c 9.345
_cell_angle_alpha 101.90
_cell_angle_beta 101.90
_cell_angle_gamma 29.37
loop_
_space_group_symop_operation_xyz
'x,y,z'
loop_
_atom_site_label
_atom_site_type_symbol
_atom_site_fract_x
_atom_site_fract_y
_atom_site_fract_z
Co1 Co 0.495 0.495 0.242
Co2 Co 0.505 0.505 0.758
Cs1 Cs 0.847 0.847 0.437
Cs2 Cs 0.153 0.153 0.563
Pr1 Pr 0.164 0.164 0.078
Pr2 Pr 0.836 0.836 0.922
Se1 Se 0.000 0.000 0.000
Se2 Se 0.344 0.344 0.143
Se3 Se 0.639 0.639 0.269
Se4 Se 0.500 0.500 0.500
Se5 Se 0.361 0.361 0.731
Se6 Se 0.656 0.656 0.857
# Total energy = -57.10 eV per cell
# Symmetry = C2/m
# M_tot = 2.16 μB per formula unit


6.
# BaB4Pt PBE relaxed
data_BaB4Pt
_space_group_name_H-M_alt 'P 1'
_space_group_IT_number 1
_cell_length_a 5.625
_cell_length_b 5.625
_cell_length_c 5.625
_cell_angle_alpha 149.69
_cell_angle_beta 119.81
_cell_angle_gamma 68.88
loop_
_space_group_symop_operation_xyz
'x,y,z'
loop_
_atom_site_label
_atom_site_type_symbol
_atom_site_fract_x
_atom_site_fract_y
_atom_site_fract_z
B1 B 0.584 0.237 0.348
B2 B 0.111 0.763 0.348
B3 B 0.889 0.237 0.652
B4 B 0.416 0.763 0.652
Ba1 Ba 0.000 0.000 0.000
Pt1 Pt 0.500 0.500 0.000
# Total energy = -32.06 eV per cell
# Symmetry = Immm
# M_tot = 0.00 μB per formula unit


7.
# DyHoMg6 PBE relaxed
data_DyHoMg6
_space_group_name_H-M_alt 'P 1'
_space_group_IT_number 1
_cell_length_a 5.164
_cell_length_b 5.164
_cell_length_c 7.302
_cell_angle_alpha 90.00
_cell_angle_beta 90.00
_cell_angle_gamma 90.00
loop_
_space_group_symop_operation_xyz
'x,y,z'
loop_
_atom_site_label
_atom_site_type_symbol
_atom_site_fract_x
_atom_site_fract_y
_atom_site_fract_z
Dy1 Dy 0.000 0.000 0.000
Ho1 Ho 0.500 0.500 0.500
Mg1 Mg 0.500 0.500 0.000
Mg2 Mg 0.500 0.000 0.251
Mg3 Mg 0.000 0.500 0.251
Mg4 Mg 0.000 0.000 0.500
Mg5 Mg 0.500 0.000 0.749
Mg6 Mg 0.000 0.500 0.749
# Total energy = -19.00 eV per cell
# Symmetry = P4/mmm
# M_tot = 0.01 μB per formula unit


8.
# TbPrNi2P2 PBE relaxed
data_TbPrNi2P2
_space_group_name_H-M_alt 'P 1'
_space_group_IT_number 1
_cell_length_a 3.940
_cell_length_b 3.940
_cell_length_c 7.924
_cell_angle_alpha 90.00
_cell_angle_beta 90.00
_cell_angle_gamma 120.00
loop_
_space_group_symop_operation_xyz
'x,y,z'
loop_
_atom_site_label
_atom_site_type_symbol
_atom_site_fract_x
_atom_site_fract_y
_atom_site_fract_z
Ni1 Ni 0.333 0.667 0.243
Ni2 Ni 0.667 0.333 0.757
P1 P 0.667 0.333 0.238
P2 P 0.333 0.667 0.762
Pr1 Pr 0.000 0.000 0.500
Tb1 Tb 0.000 0.000 0.000
# Total energy = -38.46 eV per cell
# Symmetry = P-3m1
# M_tot = 0.00 μB per formula unit


9.
# SmSiAg PBE relaxed
data_SmSiAg
_space_group_name_H-M_alt 'P 1'
_space_group_IT_number 1
_cell_length_a 7.823
_cell_length_b 7.823
_cell_length_c 3.861
_cell_angle_alpha 90.00
_cell_angle_beta 90.00
_cell_angle_gamma 120.00
loop_
_space_group_symop_operation_xyz
'x,y,z'
loop_
_atom_site_label
_atom_site_type_symbol
_atom_site_fract_x
_atom_site_fract_y
_atom_site_fract_z
Ag1 Ag 0.619 0.000 0.000
Ag2 Ag 0.381 0.381 0.000
Ag3 Ag 0.000 0.619 0.000
Si1 Si 0.000 0.000 0.000
Si2 Si 0.667 0.333 0.500
Si3 Si 0.333 0.667 0.500
Sm1 Sm 0.278 0.000 0.500
Sm2 Sm 0.000 0.278 0.500
Sm3 Sm 0.722 0.722 0.500
# Total energy = -40.56 eV per cell
# Symmetry = P-62m
# M_tot = 0.00 μB per formula unit


10.
# PmNdAsO PBE relaxed
data_PmNdAsO
_space_group_name_H-M_alt 'P 1'
_space_group_IT_number 1
_cell_length_a 4.395
_cell_length_b 4.395
_cell_length_c 9.346
_cell_angle_alpha 90.00
_cell_angle_beta 90.00
_cell_angle_gamma 90.00
loop_
_space_group_symop_operation_xyz
'x,y,z'
loop_
_atom_site_label
_atom_site_type_symbol
_atom_site_fract_x
_atom_site_fract_y
_atom_site_fract_z
As1 As 0.750 0.750 0.288
As2 As 0.250 0.250 0.712
Nd1 Nd 0.750 0.250 0.500
Nd2 Nd 0.250 0.750 0.500
O1 O 0.750 0.250 0.000
O2 O 0.250 0.750 0.000
Pm1 Pm 0.250 0.250 0.103
Pm2 Pm 0.750 0.750 0.897
# Total energy = -52.81 eV per cell
# Symmetry = P4/nmm
# M_tot = 0.06 μB per formula unit


11.
# LiNbAs PBE relaxed
data_LiNbAs
_space_group_name_H-M_alt 'P 1'
_space_group_IT_number 1
_cell_length_a 4.287
_cell_length_b 4.287
_cell_length_c 4.287
_cell_angle_alpha 60.00
_cell_angle_beta 60.00
_cell_angle_gamma 60.00
loop_
_space_group_symop_operation_xyz
'x,y,z'
loop_
_atom_site_label
_atom_site_type_symbol
_atom_site_fract_x
_atom_site_fract_y
_atom_site_fract_z
As1 As 0.000 0.000 0.000
Li1 Li 0.500 0.500 0.500
Nb1 Nb 0.750 0.750 0.750
# Total energy = -15.89 eV per cell
# Symmetry = F-43m
# M_tot = 0.52 μB per formula unit


12.
# NbInNiPd PBE relaxed
data_NbInNiPd
_space_group_name_H-M_alt 'P 1'
_space_group_IT_number 1
_cell_length_a 4.504
_cell_length_b 4.504
_cell_length_c 4.504
_cell_angle_alpha 60.00
_cell_angle_beta 60.00
_cell_angle_gamma 60.00
loop_
_space_group_symop_operation_xyz
'x,y,z'
loop_
_atom_site_label
_atom_site_type_symbol
_atom_site_fract_x
_atom_site_fract_y
_atom_site_fract_z
In1 In 0.000 0.000 0.000
Nb1 Nb 0.500 0.500 0.500
Ni1 Ni 0.750 0.750 0.750
Pd1 Pd 0.250 0.250 0.250
# Total energy = -24.43 eV per cell
# Symmetry = F-43m
# M_tot = 0.00 μB per formula unit